w) Crystalline KMg2Br at its relaxed geometry, computed with GGA-PBEsol.

Space-group type: No. 6
N(E_F) in states/eV/atom: 0.33

Unit cell a=3.6375 b=3.7096 c=9.1218 alpha=101.76 beta=90.00 gamma=90.00
Sites, in units of the cell vectors:
Br: 0.0000 0.8088 0.4946
K: 0.5000 0.4170 0.7104
Mg: 0.0000 0.0864 0.0463
Mg: 0.5000 0.6879 0.2487


x) Crystalline KMg2Br at its relaxed geometry, computed with GGA-PBEsol.

Space-group type: No. 123
N(E_F) in states/eV/atom: 0.37

Unit cell a=4.4130 b=4.4130 c=6.6881 alpha=90.00 beta=90.00 gamma=90.00
Sites, in units of the cell vectors:
Br: 0.5000 0.5000 0.5000
K: 0.0000 0.0000 0.5000
Mg: 0.0000 0.5000 0.0000
Mg: 0.5000 0.0000 0.0000


y) Crystalline KMg2Br at its relaxed geometry, computed with GGA-PBEsol.

Space-group type: No. 225
N(E_F) in states/eV/atom: 0.10

Unit cell a=5.8164 b=5.8164 c=5.8164 alpha=60.00 beta=60.00 gamma=60.00
Sites, in units of the cell vectors:
Br: 0.0000 0.0000 0.0000
K: 0.5000 0.5000 0.5000
Mg: 0.2500 0.2500 0.2500
Mg: 0.7500 0.7500 0.7500


Most stable to least stable, the ends of the list are w) and y).